Version w
CaTc2Au | PBE | optimized geometry

* space group: Immm
* Fermi-level density of states: 4.58 states/eV/f.u.

Lattice parameters (Å, degrees): 2.9485 4.6545 10.6480 90.00 90.00 90.00
With the nearest neighbours (Å) after each atom.
Positions (direct):
1 Ca 0.0000 0.0000 0.0000  4 Au 2.75, 2 Ca 2.95
2 Ca 0.5000 0.5000 0.5000  4 Au 2.75, 2 Ca 2.95
3 Tc 0.0000 0.5000 0.2247  6 Tc 2.81-2.95, 2 Au 2.81
4 Tc 0.0000 0.5000 0.7753  6 Tc 2.81-2.95, 2 Au 2.81
5 Tc 0.5000 0.0000 0.2753  6 Tc 2.81-2.95, 2 Au 2.81
6 Tc 0.5000 0.0000 0.7247  6 Tc 2.81-2.95, 2 Au 2.81
7 Au 0.0000 0.0000 0.5000  4 Ca 2.75, 4 Tc 2.81, 2 Au 2.95
8 Au 0.5000 0.5000 0.0000  4 Ca 2.75, 4 Tc 2.81, 2 Au 2.95



Version x
CaTc2Au | PBE | optimized geometry

* space group: R-3m
* Fermi-level density of states: 6.60 states/eV/f.u.

Lattice parameters (Å, degrees): 2.8900 2.8900 29.3666 90.00 90.00 120.00
With the nearest neighbours (Å) after each atom.
Positions (direct):
1 Ca 0.0000 0.0000 0.0000  6 Ca 2.89, 6 Tc 3.08
2 Ca 0.3333 0.6667 0.6667  6 Ca 2.89, 6 Tc 3.08
3 Ca 0.6667 0.3333 0.3333  6 Ca 2.89, 6 Tc 3.08
4 Tc 0.0000 0.0000 0.2453  3 Au 2.85, 6 Tc 2.89, 3 Ca 3.08
5 Tc 0.0000 0.0000 0.7547  3 Au 2.85, 6 Tc 2.89, 3 Ca 3.08
6 Tc 0.3333 0.6667 0.4214  3 Au 2.85, 6 Tc 2.89, 3 Ca 3.08
7 Tc 0.3333 0.6667 0.9119  3 Au 2.85, 6 Tc 2.89, 3 Ca 3.08
8 Tc 0.6667 0.3333 0.0881  3 Au 2.85, 6 Tc 2.89, 3 Ca 3.08
9 Tc 0.6667 0.3333 0.5786  3 Au 2.85, 6 Tc 2.89, 3 Ca 3.08
10 Au 0.0000 0.0000 0.5000  6 Tc 2.85, 6 Au 2.89
11 Au 0.3333 0.6667 0.1667  6 Tc 2.85, 6 Au 2.89
12 Au 0.6667 0.3333 0.8333  6 Tc 2.85, 6 Au 2.89



So which one wins? Going from most stable to least: version w, version x.



Version w
CaTc2Au | PBE | optimized geometry

* space group: I-42d
* Fermi-level density of states: 5.03 states/eV/f.u.

Lattice parameters (Å, degrees): 7.9574 7.9574 5.1180 90.00 90.00 90.00
With the nearest neighbours (Å) after each atom.
Positions (direct):
1 Ca 0.0000 0.0000 0.0000  2 Au 2.56
2 Ca 0.0000 0.5000 0.2500  2 Au 2.56
3 Ca 0.5000 0.0000 0.7500  2 Au 2.56
4 Ca 0.5000 0.5000 0.5000  2 Au 2.56
5 Tc 0.2142 0.2500 0.6250  2 Tc 2.62, 2 Au 2.70
6 Tc 0.2500 0.7142 0.8750  2 Tc 2.62, 2 Au 2.70
7 Tc 0.2500 0.7858 0.3750  2 Tc 2.62, 2 Au 2.70
8 Tc 0.2858 0.2500 0.1250  2 Tc 2.62, 2 Au 2.70
9 Tc 0.7142 0.7500 0.1250  2 Tc 2.62, 2 Au 2.70
10 Tc 0.7500 0.2142 0.3750  2 Tc 2.62, 2 Au 2.70
11 Tc 0.7500 0.2858 0.8750  2 Tc 2.62, 2 Au 2.70
12 Tc 0.7858 0.7500 0.6250  2 Tc 2.62, 2 Au 2.70
13 Au 0.0000 0.0000 0.5000  2 Ca 2.56, 4 Tc 2.70
14 Au 0.0000 0.5000 0.7500  2 Ca 2.56, 4 Tc 2.70
15 Au 0.5000 0.0000 0.2500  2 Ca 2.56, 4 Tc 2.70
16 Au 0.5000 0.5000 0.0000  2 Ca 2.56, 4 Tc 2.70



Version x
CaTc2Au | PBE | optimized geometry

* space group: C2/m
* Fermi-level density of states: 3.64 states/eV/f.u.

Lattice parameters (Å, degrees): 5.5070 9.9825 2.7303 90.00 110.93 90.00
With the nearest neighbours (Å) after each atom.
Positions (direct):
1 Ca 0.0000 0.0000 0.0000  2 Ca 2.73, 2 Au 2.75, 4 Tc 2.94
2 Ca 0.5000 0.5000 0.0000  2 Ca 2.73, 2 Au 2.75, 4 Tc 2.94
3 Tc 0.2500 0.2500 0.5000  4 Tc 2.73-2.75, 2 Ca 2.94, 2 Au 2.94
4 Tc 0.2500 0.7500 0.5000  4 Tc 2.73-2.75, 2 Ca 2.94, 2 Au 2.94
5 Tc 0.7500 0.2500 0.5000  4 Tc 2.73-2.75, 2 Ca 2.94, 2 Au 2.94
6 Tc 0.7500 0.7500 0.5000  4 Tc 2.73-2.75, 2 Ca 2.94, 2 Au 2.94
7 Au 0.0000 0.5000 0.0000  2 Au 2.73, 2 Ca 2.75, 4 Tc 2.94
8 Au 0.5000 0.0000 0.0000  2 Au 2.73, 2 Ca 2.75, 4 Tc 2.94



So which one wins? Going from most stable to least: version x, version w.



Version w
Ca2TcAu | PBE | optimized geometry

* space group: I-4m2
* Fermi-level density of states: 4.92 states/eV/f.u.

Lattice parameters (Å, degrees): 4.3343 4.3343 9.5199 90.00 90.00 90.00
With the nearest neighbours (Å) after each atom.
Positions (direct):
1 Ca 0.0000 0.0000 0.0000  4 Au 3.06, 4 Tc 3.22, 4 Ca 3.22
2 Ca 0.0000 0.5000 0.2500  4 Tc 3.06, 4 Ca 3.22, 4 Au 3.22
3 Ca 0.5000 0.0000 0.7500  4 Tc 3.06, 4 Ca 3.22, 4 Au 3.22
4 Ca 0.5000 0.5000 0.5000  4 Au 3.06, 4 Tc 3.22, 4 Ca 3.22
5 Tc 0.0000 0.5000 0.7500  8 Ca 3.06-3.22, 4 Au 3.22
6 Tc 0.5000 0.0000 0.2500  8 Ca 3.06-3.22, 4 Au 3.22
7 Au 0.0000 0.0000 0.5000  8 Ca 3.06-3.22, 4 Tc 3.22
8 Au 0.5000 0.5000 0.0000  8 Ca 3.06-3.22, 4 Tc 3.22



Version x
Ca2TcAu | PBE | optimized geometry

* space group: F-43m
* Fermi-level density of states: 5.50 states/eV/f.u.

Lattice parameters (Å, degrees): 7.0506 7.0506 7.0506 90.00 90.00 90.00
With the nearest neighbours (Å) after each atom.
Positions (direct):
1 Ca 0.0000 0.0000 0.0000  4 Tc 3.05, 4 Ca 3.05
2 Ca 0.0000 0.5000 0.5000  4 Tc 3.05, 4 Ca 3.05
3 Ca 0.2500 0.2500 0.2500  4 Ca 3.05, 4 Au 3.05
4 Ca 0.2500 0.7500 0.7500  4 Ca 3.05, 4 Au 3.05
5 Ca 0.5000 0.0000 0.5000  4 Tc 3.05, 4 Ca 3.05
6 Ca 0.5000 0.5000 0.0000  4 Tc 3.05, 4 Ca 3.05
7 Ca 0.7500 0.2500 0.7500  4 Ca 3.05, 4 Au 3.05
8 Ca 0.7500 0.7500 0.2500  4 Ca 3.05, 4 Au 3.05
9 Tc 0.2500 0.2500 0.7500  4 Ca 3.05, 4 Au 3.05
10 Tc 0.2500 0.7500 0.2500  4 Ca 3.05, 4 Au 3.05
11 Tc 0.7500 0.2500 0.2500  4 Ca 3.05, 4 Au 3.05
12 Tc 0.7500 0.7500 0.7500  4 Ca 3.05, 4 Au 3.05
13 Au 0.0000 0.0000 0.5000  4 Tc 3.05, 4 Ca 3.05
14 Au 0.0000 0.5000 0.0000  4 Tc 3.05, 4 Ca 3.05
15 Au 0.5000 0.0000 0.0000  4 Tc 3.05, 4 Ca 3.05
16 Au 0.5000 0.5000 0.5000  4 Tc 3.05, 4 Ca 3.05



So which one wins? Going from most stable to least: version w, version x.